Entry 1:
Material: Zn5In3
Method: DFT, GGA-PBE
State: relaxed

Properties
The offset from the most stable computed form comes out at 0 meV/atom. The formation energy from the elements comes out at 0.112 eV/atom. For the final energy, the calculation gives -1.7114 eV per atom.

abc: 8.853 8.853 4.825
angles: 90.00 90.00 120.00
Element x y z (fractional)
Zn: 0.333 0.667 0.000
Zn: 0.667 0.333 0.500
Zn: 0.667 0.333 0.000
Zn: 0.333 0.667 0.500
Zn: 0.181 0.000 0.250
Zn: 0.819 0.000 0.750
Zn: 0.000 0.181 0.250
Zn: 0.819 0.819 0.250
Zn: 0.181 0.181 0.750
Zn: 0.000 0.819 0.750
In: 0.614 0.000 0.250
In: 0.386 0.000 0.750
In: 0.000 0.614 0.250
In: 0.386 0.386 0.250
In: 0.614 0.614 0.750
In: 0.000 0.386 0.750

=====

Entry 2:
Material: ZnIn
Method: DFT, GGA-PBE
State: relaxed

Properties
The formation energy from the elements comes out at 0.136 eV/atom. For the final energy, the calculation gives -1.8705 eV per atom.

abc: 7.933 7.933 5.699
angles: 90.00 90.00 90.00
Element x y z (fractional)
Zn: 0.927 0.217 0.000
Zn: 0.927 0.783 0.500
Zn: 0.073 0.217 0.500
Zn: 0.073 0.783 0.000
Zn: 0.783 0.073 0.500
Zn: 0.783 0.927 0.000
Zn: 0.217 0.073 0.000
Zn: 0.217 0.927 0.500
In: 0.786 0.565 0.000
In: 0.786 0.435 0.500
In: 0.214 0.565 0.500
In: 0.214 0.435 0.000
In: 0.435 0.214 0.500
In: 0.435 0.786 0.000
In: 0.565 0.214 0.000
In: 0.565 0.786 0.500

=====

Entry 3:
Material: ZnIn
Method: DFT, GGA-PBE
State: relaxed

Properties
The formation energy from the elements comes out at 0.102 eV/atom. For the final energy, the calculation gives -1.9043 eV per atom.

abc: 5.685 5.685 7.846
angles: 67.21 67.21 33.90
Element x y z (fractional)
Zn: 0.644 0.644 0.620
Zn: 0.070 0.070 0.394
Zn: 0.717 0.717 0.106
In: 0.026 0.026 0.965
In: 0.359 0.359 0.335
In: 0.350 0.350 0.746

=====

Entry 4:
Material: ZnIn2
Method: DFT, GGA-PBE
State: relaxed

Properties
The formation energy from the elements comes out at 0.043 eV/atom. For the final energy, the calculation gives -2.2073 eV per atom.

abc: 4.703 4.703 4.703
angles: 60.00 60.00 60.00
Element x y z (fractional)
Zn: 0.000 0.000 0.000
In: 0.250 0.250 0.250
In: 0.750 0.750 0.750

=====

Entry 5:
Material: ZnIn
Method: DFT, GGA-PBE
State: relaxed

Properties
The formation energy from the elements comes out at 0.107 eV/atom. For the final energy, the calculation gives -1.8990 eV per atom.

abc: 6.298 6.298 6.298
angles: 151.30 133.22 55.81
Element x y z (fractional)
In: 0.022 0.022 0.000
In: 0.728 0.228 0.500
Zn: 0.473 0.473 0.000
Zn: 0.277 0.777 0.500

=====

Entry 6:
Material: Zn2In3
Method: DFT, GGA-PBE
State: relaxed

Properties
The formation energy from the elements comes out at 0.082 eV/atom. For the final energy, the calculation gives -2.0709 eV per atom.

abc: 11.603 11.603 11.603
angles: 16.79 16.79 16.79
Element x y z (fractional)
Zn: 0.398 0.398 0.398
Zn: 0.602 0.602 0.602
In: 0.000 0.000 0.000
In: 0.794 0.794 0.794
In: 0.206 0.206 0.206

=====

What is the formation energy from the elements in the sixth record?
0.082 eV/atom

=====

Which formula does entry 5 have?
ZnIn

=====

Repeat the first record exactly.
Material: Zn5In3
Method: DFT, GGA-PBE
State: relaxed

Properties
The offset from the most stable computed form comes out at 0 meV/atom. The formation energy from the elements comes out at 0.112 eV/atom. For the final energy, the calculation gives -1.7114 eV per atom.

abc: 8.853 8.853 4.825
angles: 90.00 90.00 120.00
Element x y z (fractional)
Zn: 0.333 0.667 0.000
Zn: 0.667 0.333 0.500
Zn: 0.667 0.333 0.000
Zn: 0.333 0.667 0.500
Zn: 0.181 0.000 0.250
Zn: 0.819 0.000 0.750
Zn: 0.000 0.181 0.250
Zn: 0.819 0.819 0.250
Zn: 0.181 0.181 0.750
Zn: 0.000 0.819 0.750
In: 0.614 0.000 0.250
In: 0.386 0.000 0.750
In: 0.000 0.614 0.250
In: 0.386 0.386 0.250
In: 0.614 0.614 0.750
In: 0.000 0.386 0.750

=====

Please write out number 5 again, unchanged.
Material: ZnIn
Method: DFT, GGA-PBE
State: relaxed

Properties
The formation energy from the elements comes out at 0.107 eV/atom. For the final energy, the calculation gives -1.8990 eV per atom.

abc: 6.298 6.298 6.298
angles: 151.30 133.22 55.81
Element x y z (fractional)
In: 0.022 0.022 0.000
In: 0.728 0.228 0.500
Zn: 0.473 0.473 0.000
Zn: 0.277 0.777 0.500